A plane-wave DFT calculation with PBE-GGA was carried out for an optimized crystal structure of La2Cu15Ag2.

Cell: 6.6416 6.6416 6.6416 Å, 82.98 82.98 82.98°
Last column: nearest neighbours and their distance in Å.
Positions (direct):
La  0.1534  0.1534  0.1534  18 Cu 3.11-3.43, 1 Ag 3.12
La  0.8466  0.8466  0.8466  18 Cu 3.11-3.43, 1 Ag 3.12
Cu  0.0000  0.5000  0.5000  8 Cu 2.52-2.55, 2 Ag 2.67
Cu  0.1549  0.1549  0.6575  8 Cu 2.54-2.68, 1 Ag 2.73
Cu  0.1549  0.6575  0.1549  8 Cu 2.54-2.68, 1 Ag 2.73
Cu  0.2031  0.5000  0.7969  8 Cu 2.52-2.68
Cu  0.2031  0.7969  0.5000  8 Cu 2.52-2.68
Cu  0.3425  0.8451  0.8451  8 Cu 2.54-2.68, 1 Ag 2.73
Cu  0.5000  0.0000  0.5000  8 Cu 2.52-2.55, 2 Ag 2.67
Cu  0.5000  0.2031  0.7969  8 Cu 2.52-2.68
Cu  0.5000  0.5000  0.0000  8 Cu 2.52-2.55, 2 Ag 2.67
Cu  0.5000  0.7969  0.2031  8 Cu 2.52-2.68
Cu  0.6575  0.1549  0.1549  8 Cu 2.54-2.68, 1 Ag 2.73
Cu  0.7969  0.2031  0.5000  8 Cu 2.52-2.68
Cu  0.7969  0.5000  0.2031  8 Cu 2.52-2.68
Cu  0.8451  0.3425  0.8451  8 Cu 2.54-2.68, 1 Ag 2.73
Cu  0.8451  0.8451  0.3425  8 Cu 2.54-2.68, 1 Ag 2.73
Ag  0.3968  0.3968  0.3968  1 Ag 2.65, 12 Cu 2.67-2.93
Ag  0.6032  0.6032  0.6032  1 Ag 2.65, 12 Cu 2.67-2.93

Summary:
Formation energy: -0.08 eV/atom
ρ: 8.37 g/cm3
SG: R-3m
Energy: -4.1367 eV per atom

A plane-wave DFT calculation with PBE-GGA was carried out for an optimized crystal structure of Cr2WCl.

Cell: 3.0794 3.0794 6.9074 Å, 90.00 90.00 90.00°
Last column: nearest neighbours and their distance in Å.
Positions (direct):
Cr  0.0000  0.0000  0.2100  4 W 2.62, 1 Cr 2.90
Cr  0.0000  0.0000  0.7900  4 W 2.62, 1 Cr 2.90
W  0.5000  0.5000  0.0000  8 Cr 2.62
Cl  0.5000  0.5000  0.5000  8 Cr 2.96, 4 Cl 3.08

Summary:
ρ: 8.20 g/cm3
SG: P4/mmm
Formation energy from raw total energies: 379 meV/atom
Offset from the most stable computed form: 146 meV per atom
Energy: -8.1331 eV per atom

A plane-wave DFT calculation with PBE-GGA was carried out for an optimized crystal structure of Rb2SmRe2N6.

Cell: 6.4529 6.4529 7.5178 Å, 116.74 116.74 59.69°
Last column: nearest neighbours and their distance in Å.
Positions (direct):
Rb  0.2193  0.2193  0.1804  8 N 3.23-3.43
Rb  0.7807  0.7807  0.8196  8 N 3.23-3.43
Sm  0.0000  0.0000  0.5000  6 N 2.44-2.45
Re  0.4389  0.4389  0.7901  3 N 1.79
Re  0.5611  0.5611  0.2099  3 N 1.79
N  0.2557  0.2557  0.6959  1 Re 1.79
N  0.2657  0.7331  0.7319  1 Re 1.79
N  0.2669  0.7343  0.2681  1 Re 1.79
N  0.7331  0.2657  0.7319  1 Re 1.79
N  0.7343  0.2669  0.2681  1 Re 1.79
N  0.7443  0.7443  0.3041  1 Re 1.79

Summary:
ρ: 5.59 g/cm3
SG: C2/m
Formation energy from raw total energies: -326 meV/atom
Energy: -7.7356 eV per atom

> ρ of number 2 (Cr2WCl)?

8.20 g/cm3

> What is the ρ in the first record?

8.37 g/cm3

> Which of these has the highest energy?

La2Cu15Ag2

Copy entry 1 word for word.
A plane-wave DFT calculation with PBE-GGA was carried out for an optimized crystal structure of La2Cu15Ag2.

Cell: 6.6416 6.6416 6.6416 Å, 82.98 82.98 82.98°
Last column: nearest neighbours and their distance in Å.
Positions (direct):
La  0.1534  0.1534  0.1534  18 Cu 3.11-3.43, 1 Ag 3.12
La  0.8466  0.8466  0.8466  18 Cu 3.11-3.43, 1 Ag 3.12
Cu  0.0000  0.5000  0.5000  8 Cu 2.52-2.55, 2 Ag 2.67
Cu  0.1549  0.1549  0.6575  8 Cu 2.54-2.68, 1 Ag 2.73
Cu  0.1549  0.6575  0.1549  8 Cu 2.54-2.68, 1 Ag 2.73
Cu  0.2031  0.5000  0.7969  8 Cu 2.52-2.68
Cu  0.2031  0.7969  0.5000  8 Cu 2.52-2.68
Cu  0.3425  0.8451  0.8451  8 Cu 2.54-2.68, 1 Ag 2.73
Cu  0.5000  0.0000  0.5000  8 Cu 2.52-2.55, 2 Ag 2.67
Cu  0.5000  0.2031  0.7969  8 Cu 2.52-2.68
Cu  0.5000  0.5000  0.0000  8 Cu 2.52-2.55, 2 Ag 2.67
Cu  0.5000  0.7969  0.2031  8 Cu 2.52-2.68
Cu  0.6575  0.1549  0.1549  8 Cu 2.54-2.68, 1 Ag 2.73
Cu  0.7969  0.2031  0.5000  8 Cu 2.52-2.68
Cu  0.7969  0.5000  0.2031  8 Cu 2.52-2.68
Cu  0.8451  0.3425  0.8451  8 Cu 2.54-2.68, 1 Ag 2.73
Cu  0.8451  0.8451  0.3425  8 Cu 2.54-2.68, 1 Ag 2.73
Ag  0.3968  0.3968  0.3968  1 Ag 2.65, 12 Cu 2.67-2.93
Ag  0.6032  0.6032  0.6032  1 Ag 2.65, 12 Cu 2.67-2.93

Summary:
Formation energy: -0.08 eV/atom
ρ: 8.37 g/cm3
SG: R-3m
Energy: -4.1367 eV per atom